Entry 1:
The following is a PBE-GGA calculation of crystalline TbCeTmN3 at its relaxed geometry, from Alexandria.

Results
Formation energy (no corrections)   -1.4173 eV/atom
Calculated total energy   -8.086 eV/atom
Space group   P2_1/m

Unit cell a=3.4448 b=5.9890 c=9.0601 alpha=101.68 beta=90.00 gamma=90.00
Positions (direct):
N: 0.2500 0.7400 0.5039
N: 0.2500 0.4638 0.8336
N: 0.7500 0.5362 0.1664
N: 0.7500 0.2600 0.4961
N: 0.2500 0.9648 0.8490
N: 0.7500 0.0352 0.1510
Tm: 0.7500 0.2294 0.9560
Tm: 0.2500 0.7706 0.0440
Ce: 0.7500 0.6576 0.6969
Ce: 0.2500 0.3424 0.3031
Tb: 0.2500 0.1470 0.6398
Tb: 0.7500 0.8530 0.3602



Entry 2:
The following is a PBE-GGA calculation of crystalline Tb2CeTmN4 at its relaxed geometry, from Alexandria.

Results
Formation energy (no corrections)   -1.6553 eV/atom
Calculated total energy   -8.276 eV/atom
Space group   P2/m

Unit cell a=3.4944 b=6.0335 c=6.0368 alpha=109.29 beta=90.00 gamma=90.00
Positions (direct):
Ce: 0.5000 0.5000 0.0000
N: 0.5000 0.7522 0.7567
N: 0.0000 0.2489 0.7538
N: 0.5000 0.2478 0.2433
N: 0.0000 0.7511 0.2462
Tb: 0.5000 0.0000 0.5000
Tb: 0.0000 0.5000 0.5000
Tm: 0.0000 0.0000 0.0000



Entry 3:
The following is a PBE-GGA calculation of crystalline TbCe2UN4 at its relaxed geometry, from Alexandria.

Results
Formation energy (no corrections)   -1.5170 eV/atom
Calculated total energy   -9.153 eV/atom
Space group   P2/m

Unit cell a=3.5116 b=6.0211 c=6.1232 alpha=109.14 beta=90.00 gamma=90.00
Positions (direct):
Tb: 0.5000 0.5000 0.0000
N: 0.0000 0.7658 0.2280
N: 0.5000 0.2267 0.2216
N: 0.5000 0.7733 0.7784
N: 0.0000 0.2342 0.7720
Ce: 0.5000 0.0000 0.5000
Ce: 0.0000 0.5000 0.5000
U: 0.0000 0.0000 0.0000



Entry 4:
The following is a PBE-GGA calculation of crystalline TbCe4U3N8 at its relaxed geometry, from Alexandria.

Results
Formation energy (no corrections)   -1.4784 eV/atom
Calculated total energy   -9.530 eV/atom
Space group   R-3m

Unit cell a=6.9816 b=7.0272 c=6.9816 alpha=119.79 beta=120.00 gamma=90.00
Positions (direct):
U: 0.5000 0.5000 0.0000
U: 0.0000 0.5000 0.5000
U: 0.5000 0.5000 0.5000
N: 0.7527 0.2784 0.5053
N: 0.2731 0.2784 0.0257
N: 0.7526 0.2784 0.0257
N: 0.2474 0.7216 0.9743
N: 0.7269 0.7216 0.9743
N: 0.2599 0.2798 0.5199
N: 0.2473 0.7216 0.4947
N: 0.7401 0.7202 0.4801
Ce: 0.0000 0.0000 0.0000
Ce: 0.5000 0.0000 0.5000
Ce: 0.5000 0.0000 0.0000
Ce: 0.0000 0.0000 0.5000
Tb: 0.0000 0.5000 0.0000



Entry 5:
The following is a PBE-GGA calculation of crystalline TbCe2VN5 at its relaxed geometry, from Alexandria.

Results
Formation energy (no corrections)   -1.2629 eV/atom
Calculated total energy   -8.734 eV/atom
Space group   Cmc2_1

Unit cell a=3.3946 b=8.0348 c=9.6828 alpha=90.00 beta=90.00 gamma=102.20
Positions (direct):
N: 0.0357 0.0715 0.0299
N: 0.9643 0.9285 0.5299
N: 0.6536 0.3072 0.8713
N: 0.3598 0.7196 0.0145
N: 0.6402 0.2804 0.5145
N: 0.3070 0.6140 0.6864
N: 0.4936 0.9872 0.7858
N: 0.5064 0.0128 0.2858
N: 0.6930 0.3860 0.1864
N: 0.3464 0.6928 0.3713
Ce: 0.1172 0.2343 0.3057
Ce: 0.8828 0.7657 0.8057
Ce: 0.1032 0.2063 0.6720
Ce: 0.8968 0.7937 0.1720
V: 0.5486 0.0972 0.9468
V: 0.4514 0.9028 0.4468
Tb: 0.7862 0.5725 0.5116
Tb: 0.2138 0.4275 0.0116



Entry 6:
The following is a PBE-GGA calculation of crystalline Tb2CeWN4 at its relaxed geometry, from Alexandria.

Results
Formation energy (no corrections)   -1.1062 eV/atom
Calculated total energy   -8.787 eV/atom
Space group   Cmcm

Unit cell a=3.3912 b=6.2073 c=12.0201 alpha=90.00 beta=90.00 gamma=105.85
Positions (direct):
Tb: 0.6293 0.2587 0.4625
Tb: 0.6293 0.2587 0.0375
Tb: 0.3707 0.7413 0.5375
Tb: 0.3707 0.7413 0.9625
W: 0.8332 0.6665 0.7500
W: 0.1668 0.3335 0.2500
Ce: 0.9067 0.8133 0.2500
Ce: 0.0933 0.1867 0.7500
N: 0.7350 0.4701 0.8757
N: 0.0000 0.0000 0.5000
N: 0.4382 0.8764 0.7500
N: 0.0000 0.0000 0.0000
N: 0.5618 0.1236 0.2500
N: 0.2650 0.5299 0.3757
N: 0.7350 0.4701 0.6243
N: 0.2650 0.5299 0.1243



Entry 7:
The following is a PBE-GGA calculation of crystalline TbCeY2N4 at its relaxed geometry, from Alexandria.

Results
Formation energy (no corrections)   -1.6379 eV/atom
Calculated total energy   -8.737 eV/atom
Space group   P2/m

Unit cell a=3.5082 b=6.0609 c=6.0598 alpha=109.32 beta=90.00 gamma=90.00
Positions (direct):
N: 0.0000 0.2510 0.7504
N: 0.5000 0.2526 0.2483
N: 0.5000 0.7474 0.7517
N: 0.0000 0.7490 0.2496
Tb: 0.0000 0.0000 0.0000
Y: 0.0000 0.5000 0.5000
Y: 0.5000 0.0000 0.5000
Ce: 0.5000 0.5000 0.0000



Entry 8:
The following is a PBE-GGA calculation of crystalline Tb3Ce2YN6 at its relaxed geometry, from Alexandria.

Results
Formation energy (no corrections)   -1.6165 eV/atom
Calculated total energy   -8.464 eV/atom
Space group   C2/m

Unit cell a=6.0900 b=6.0900 c=6.0862 alpha=99.59 beta=99.59 gamma=120.01
Positions (direct):
Tb: 0.5000 0.5000 0.5000
Tb: 0.8339 0.1661 0.5000
Tb: 0.1661 0.8339 0.5000
N: 0.2517 0.2517 0.7505
N: 0.4176 0.0824 0.2472
N: 0.0824 0.4176 0.2472
N: 0.5824 0.9176 0.7528
N: 0.7483 0.7483 0.2495
N: 0.9176 0.5824 0.7528
Y: 0.0000 0.0000 0.0000
Ce: 0.3332 0.6668 0.0000
Ce: 0.6668 0.3332 0.0000



Entry 9:
The following is a PBE-GGA calculation of crystalline TbCe2Y3N6 at its relaxed geometry, from Alexandria.

Results
Formation energy (no corrections)   -1.6243 eV/atom
Calculated total energy   -8.778 eV/atom
Space group   C2/m

Unit cell a=6.0802 b=6.0802 c=6.0763 alpha=99.59 beta=99.59 gamma=120.01
Positions (direct):
N: 0.4184 0.0828 0.2485
N: 0.9172 0.5816 0.7515
N: 0.0828 0.4184 0.2485
N: 0.5816 0.9172 0.7515
N: 0.2517 0.2517 0.7493
N: 0.7483 0.7483 0.2507
Tb: 0.0000 0.0000 0.0000
Y: 0.8338 0.1662 0.5000
Y: 0.5000 0.5000 0.5000
Y: 0.1662 0.8338 0.5000
Ce: 0.3332 0.6668 0.0000
Ce: 0.6668 0.3332 0.0000



Entry 10:
The following is a PBE-GGA calculation of crystalline TbCeYN3 at its relaxed geometry, from Alexandria.

Results
Formation energy (no corrections)   -1.3889 eV/atom
Calculated total energy   -8.390 eV/atom
Space group   P2_1/m

Unit cell a=3.4665 b=6.0350 c=9.1227 alpha=101.51 beta=90.00 gamma=90.00
Positions (direct):
N: 0.2500 0.7416 0.5026
N: 0.7500 0.2584 0.4974
N: 0.7500 0.5374 0.1706
N: 0.2500 0.9601 0.8440
N: 0.7500 0.0399 0.1560
N: 0.2500 0.4626 0.8294
Tb: 0.7500 0.8528 0.3618
Tb: 0.2500 0.1472 0.6382
Y: 0.2500 0.7698 0.0453
Y: 0.7500 0.2302 0.9547
Ce: 0.2500 0.3425 0.3036
Ce: 0.7500 0.6575 0.6964



Entry 11:
The following is a PBE-GGA calculation of crystalline Tb2Ce3YN6 at its relaxed geometry, from Alexandria.

Results
Formation energy (no corrections)   -1.5836 eV/atom
Calculated total energy   -8.540 eV/atom
Space group   C2/m

Unit cell a=6.1135 b=6.1135 c=6.1145 alpha=99.60 beta=99.60 gamma=119.99
Positions (direct):
N: 0.7509 0.7509 0.2504
N: 0.4161 0.0834 0.2502
N: 0.5839 0.9166 0.7498
N: 0.9166 0.5839 0.7498
N: 0.2491 0.2491 0.7496
N: 0.0834 0.4161 0.2502
Tb: 0.3333 0.6667 0.0000
Tb: 0.6667 0.3333 0.0000
Ce: 0.8333 0.1667 0.5000
Ce: 0.1667 0.8333 0.5000
Ce: 0.5000 0.5000 0.5000
Y: 0.0000 0.0000 0.0000



Entry 12:
The following is a PBE-GGA calculation of crystalline Tb2CeZrN4 at its relaxed geometry, from Alexandria.

Results
Formation energy (no corrections)   -1.6308 eV/atom
Calculated total energy   -8.761 eV/atom
Space group   P2/m

Unit cell a=3.4443 b=5.9869 c=5.9572 alpha=109.20 beta=90.00 gamma=90.00
Positions (direct):
N: 0.5000 0.7640 0.7651
N: 0.0000 0.2400 0.7589
N: 0.5000 0.2360 0.2349
N: 0.0000 0.7600 0.2411
Ce: 0.5000 0.5000 0.0000
Zr: 0.0000 0.0000 0.0000
Tb: 0.0000 0.5000 0.5000
Tb: 0.5000 0.0000 0.5000



Q: Number 8 is which compound?
A: Tb3Ce2YN6



Q: Which formula does entry 4 have?
A: TbCe4U3N8